[1]
Cs3NbTe2Se2: optimized geometry, PBE-GGA.

Geometry as extended XYZ:
```
8
Lattice="0.9011 -8.0702 0.6132 1.7323 -1.9068 7.1230 -5.0240 -5.7769 4.7374" Properties=species:S:1:pos:R:3 pbc="T T T"
Cs 0.7662 -4.6866 3.6525
Cs -0.9145 -8.0309 6.3468
Cs -0.4291 -12.5635 9.8894
Nb -4.8690 -5.8619 4.7981
Se -0.7962 -7.4472 2.0236
Se -3.6390 -7.1852 9.6494
Te -2.6876 -4.5187 5.5651
Te -4.6504 -8.5215 4.9710
```

## Properties
SG	Fmm2 (42)
final energy	-33.9	eV for the cell shown

***

[2]
Gd2Dy2O5: optimized geometry, PBE-GGA.

Geometry as extended XYZ:
```
9
Lattice="-5.9308 3.3364 -5.8271 1.0135 -2.8195 -2.6459 -2.8193 -2.4108 1.4891" Properties=species:S:1:pos:R:3 pbc="T T T"
Dy -2.3537 -1.7990 -2.0038
Dy -5.3829 -0.0949 -4.9801
Gd 0.0000 0.0000 0.0000
Gd -2.9654 1.6682 -2.9135
O -0.3877 -0.9066 -2.2018
O -4.5296 1.4235 -6.2712
O -2.3041 -0.7022 -0.1343
O -6.4460 1.6278 -4.2037
O -3.8683 -0.9470 -3.4920
```

## Properties
offset from the most stable computed form	0	meV per atom
SG	P4/mmm (123)

***

[3]
Sr2TbOsO6: optimized geometry, PBE-GGA.

Geometry as extended XYZ:
```
10
Lattice="5.7757 0.0000 0.0000 -2.8856 5.0379 0.0000 -2.8452 -1.6681 4.7949" Properties=species:S:1:pos:R:3 pbc="T T T"
O 1.6587 0.7478 0.8462
O 3.0650 3.1186 0.9532
O 0.3291 3.1291 1.5144
O -0.2843 0.2407 3.2805
O -3.0201 0.2512 3.8417
O -1.6139 2.6221 3.9487
Os 1.4450 2.5190 0.0000
Sr 4.3331 0.8682 1.1395
Sr -4.2882 2.5017 3.6554
Tb 1.4652 -0.8340 2.3974
```

## Properties
SG	P-1 (2)
final energy	-73.5	eV for the cell shown